#1
# GGA-PBE Be2Zn3, optimized geometry
data_Be2Zn3
_chemical_formula_sum 'Be2 Zn3'
_cell_length_a 3.9246
_cell_length_b 3.9246
_cell_length_c 4.7501
_cell_angle_alpha 90.00
_cell_angle_beta 90.00
_cell_angle_gamma 120.00
_space_group_name_H-M_alt 'P -3 m 1'
_space_group_IT_number 164
_space_group_name_Hall '-P 3 2"'
loop_
_atom_site_label
_atom_site_fract_x
_atom_site_fract_y
_atom_site_fract_z
Be1 0.3333 0.6667 0.3746
Zn1 0.0000 0.0000 0.5000
Zn2 0.3333 0.6667 0.8667
# Crystal system: trigonal

#2
# GGA-PBE Be2Zn3, optimized geometry
data_Be2Zn3
_chemical_formula_sum 'Be6 Zn9'
_cell_length_a 2.6438
_cell_length_b 2.6438
_cell_length_c 30.4245
_cell_angle_alpha 90.00
_cell_angle_beta 90.00
_cell_angle_gamma 120.00
_space_group_name_H-M_alt 'R -3 m'
_space_group_IT_number 166
_space_group_name_Hall '-R 3 2"'
loop_
_atom_site_label
_atom_site_fract_x
_atom_site_fract_y
_atom_site_fract_z
Be1 0.0000 0.0000 0.1037
Zn1 0.0000 0.0000 0.2938
Zn2 0.0000 0.0000 0.5000
# Crystal system: trigonal

#3
# GGA-PBE Be2Zn3, optimized geometry
data_Be2Zn3
_chemical_formula_sum 'Be16 Zn24'
_cell_length_a 10.994
_cell_length_b 11.358
_cell_length_c 4.117
_cell_angle_alpha 90.00
_cell_angle_beta 90.00
_cell_angle_gamma 90.00
_space_group_name_H-M_alt 'F d d 2'
_space_group_IT_number 43
_space_group_name_Hall 'F 2 -2d'
loop_
_atom_site_label
_atom_site_fract_x
_atom_site_fract_y
_atom_site_fract_z
Be1 0.030 0.286 0.000
Zn1 0.000 0.000 0.563
Zn2 0.103 0.381 0.501
# Crystal system: orthorhombic

Relative energy of each structure, in meV/atom: #1 0; #2 154; #3 84.

#1
# GGA-PBE Zr4BeZn, optimized geometry
data_Zr4BeZn
_chemical_formula_sum 'Zr16 Be4 Zn4'
_cell_length_a 7.991
_cell_length_b 7.991
_cell_length_c 7.991
_cell_angle_alpha 90.00
_cell_angle_beta 90.00
_cell_angle_gamma 90.00
_space_group_name_H-M_alt 'F -4 3 m'
_space_group_IT_number 216
_space_group_name_Hall 'F -4 2 3'
loop_
_atom_site_label
_atom_site_fract_x
_atom_site_fract_y
_atom_site_fract_z
Zr1 0.125 0.125 0.125
Be1 0.250 0.250 0.750
Zn1 0.000 0.000 0.500
# Crystal system: cubic

#2
# GGA-PBE Zr4BeZn, optimized geometry
data_Zr4BeZn
_chemical_formula_sum 'Zr8 Be2 Zn2'
_cell_length_a 6.995
_cell_length_b 6.995
_cell_length_c 4.699
_cell_angle_alpha 90.00
_cell_angle_beta 90.00
_cell_angle_gamma 90.00
_space_group_name_H-M_alt 'I 4 2 2'
_space_group_IT_number 97
_space_group_name_Hall 'I 4 2'
loop_
_atom_site_label
_atom_site_fract_x
_atom_site_fract_y
_atom_site_fract_z
Zr1 0.155 0.345 0.250
Be1 0.000 0.000 0.000
Zn1 0.000 0.000 0.500
# Crystal system: tetragonal

Relative energy of each structure, in meV/atom: #1 729; #2 0.

#1
# GGA-PBE ZrBe3Zn, optimized geometry
data_ZrBe3Zn
_chemical_formula_sum 'Zr1 Be3 Zn1'
_cell_length_a 4.066
_cell_length_b 4.066
_cell_length_c 4.066
_cell_angle_alpha 90.00
_cell_angle_beta 90.00
_cell_angle_gamma 90.00
_space_group_name_H-M_alt 'P m -3 m'
_space_group_IT_number 221
_space_group_name_Hall '-P 4 2 3'
loop_
_atom_site_label
_atom_site_fract_x
_atom_site_fract_y
_atom_site_fract_z
Zr1 0.000 0.000 0.000
Be1 0.000 0.500 0.500
Zn1 0.500 0.500 0.500
# Crystal system: cubic

#2
# GGA-PBE ZrBe3Zn, optimized geometry
data_ZrBe3Zn
_chemical_formula_sum 'Zr1 Be3 Zn1'
_cell_length_a 4.695
_cell_length_b 4.695
_cell_length_c 4.695
_cell_angle_alpha 90.00
_cell_angle_beta 90.00
_cell_angle_gamma 90.00
_space_group_name_H-M_alt 'P m -3 m'
_space_group_IT_number 221
_space_group_name_Hall '-P 4 2 3'
loop_
_atom_site_label
_atom_site_fract_x
_atom_site_fract_y
_atom_site_fract_z
Zr1 0.000 0.000 0.000
Be1 0.000 0.000 0.500
Zn1 0.500 0.500 0.500
# Crystal system: cubic

Relative energy of each structure, in meV/atom: #1 0; #2 1423.

#1
# GGA-PBE ZrBe5, optimized geometry
data_ZrBe5
_chemical_formula_sum 'Zr2 Be10'
_cell_length_a 3.557
_cell_length_b 2.554
_cell_length_c 14.499
_cell_angle_alpha 90.00
_cell_angle_beta 90.00
_cell_angle_gamma 90.00
_space_group_name_H-M_alt 'A m m 2'
_space_group_IT_number 38
_space_group_name_Hall 'A 2 -2'
loop_
_atom_site_label
_atom_site_fract_x
_atom_site_fract_y
_atom_site_fract_z
Zr1 0.000 0.000 0.000
Be1 0.000 0.000 0.314
Be2 0.000 0.000 0.682
Be3 0.500 0.000 0.155
Be4 0.500 0.000 0.401
Be5 0.500 0.000 0.781
# Crystal system: orthorhombic

#2
# GGA-PBE ZrBe5, optimized geometry
data_ZrBe5
_chemical_formula_sum 'Zr1 Be5'
_cell_length_a 2.739
_cell_length_b 2.739
_cell_length_c 8.536
_cell_angle_alpha 90.00
_cell_angle_beta 90.00
_cell_angle_gamma 90.00
_space_group_name_H-M_alt 'P 4/m m m'
_space_group_IT_number 123
_space_group_name_Hall '-P 4 2'
loop_
_atom_site_label
_atom_site_fract_x
_atom_site_fract_y
_atom_site_fract_z
Zr1 0.000 0.000 0.000
Be1 0.000 0.000 0.355
Be2 0.500 0.500 0.227
Be3 0.500 0.500 0.500
# Crystal system: tetragonal

Relative energy of each structure, in meV/atom: #1 53; #2 0.

#1
# GGA-PBE Zr4Be5, optimized geometry
data_Zr4Be5
_chemical_formula_sum 'Zr8 Be10'
_cell_length_a 8.463
_cell_length_b 8.463
_cell_length_c 3.910
_cell_angle_alpha 90.00
_cell_angle_beta 90.00
_cell_angle_gamma 90.00
_space_group_name_H-M_alt 'I 4/m m m'
_space_group_IT_number 139
_space_group_name_Hall '-I 4 2'
loop_
_atom_site_label
_atom_site_fract_x
_atom_site_fract_y
_atom_site_fract_z
Zr1 0.000 0.303 0.000
Be1 0.000 0.000 0.000
Be2 0.133 0.133 0.500
# Crystal system: tetragonal

#2
# GGA-PBE Zr4Be5, optimized geometry
data_Zr4Be5
_chemical_formula_sum 'Zr8 Be10'
_cell_length_a 7.7036
_cell_length_b 7.7036
_cell_length_c 5.3973
_cell_angle_alpha 90.00
_cell_angle_beta 90.00
_cell_angle_gamma 120.00
_space_group_name_H-M_alt 'P 63/m c m'
_space_group_IT_number 193
_space_group_name_Hall '-P 6c 2'
loop_
_atom_site_label
_atom_site_fract_x
_atom_site_fract_y
_atom_site_fract_z
Zr1 0.0000 0.0000 0.0000
Zr2 0.0000 0.3645 0.2500
Be1 0.0000 0.3149 0.7500
Be2 0.3333 0.6667 0.0000
# Crystal system: hexagonal

Relative energy of each structure, in meV/atom: #1 50; #2 0.

#1
# GGA-PBE Zr3Be5, optimized geometry
data_Zr3Be5
_chemical_formula_sum 'Zr6 Be10'
_cell_length_a 5.168
_cell_length_b 6.641
_cell_length_c 7.159
_cell_angle_alpha 89.02
_cell_angle_beta 70.01
_cell_angle_gamma 80.67
_space_group_name_H-M_alt 'P -1'
_space_group_IT_number 2
_space_group_name_Hall '-P 1'
loop_
_atom_site_label
_atom_site_fract_x
_atom_site_fract_y
_atom_site_fract_z
Zr1 0.170 0.486 0.166
Zr2 0.176 0.797 0.493
Zr3 0.245 0.941 0.039
Be1 0.240 0.120 0.665
Be2 0.319 0.406 0.533
Be3 0.352 0.607 0.762
Be4 0.384 0.296 0.827
Be5 0.412 0.133 0.341
# Crystal system: triclinic

#2
# GGA-PBE Zr3Be5, optimized geometry
data_Zr3Be5
_chemical_formula_sum 'Zr6 Be10'
_cell_length_a 6.078
_cell_length_b 8.722
_cell_length_c 4.305
_cell_angle_alpha 90.00
_cell_angle_beta 90.00
_cell_angle_gamma 90.00
_space_group_name_H-M_alt 'C m m m'
_space_group_IT_number 65
_space_group_name_Hall '-C 2 2'
loop_
_atom_site_label
_atom_site_fract_x
_atom_site_fract_y
_atom_site_fract_z
Zr1 0.000 0.000 0.000
Zr2 0.000 0.286 0.500
Be1 0.000 0.500 0.000
Be2 0.218 0.000 0.500
Be3 0.250 0.250 0.000
# Crystal system: orthorhombic

Relative energy of each structure, in meV/atom: #1 0; #2 43.